This record from Alexandria via LeMat-Bulk describes a geometry-optimized Cr2HgS2 structure. The functional is PBE-GGA.

Geometry as POSCAR:
```
Cr2HgS2
1.0
-2.294 2.294 3.899
2.294 -2.294 3.899
2.294 2.294 -3.899
Cr Hg S
2 1 2
direct
0.121 0.121 0.000
0.879 0.879 0.000
0.500 0.500 0.000
0.250 0.750 0.500
0.750 0.250 0.500
```

Results
Uncorrected formation energy in meV per atom: 118
Total magnetization in μB per atom: 0.00
E_tot in eV/atom: -5.442

This record from Alexandria via LeMat-Bulk describes a geometry-optimized BaLaPdPt structure. The functional is PBE-GGA.

Geometry as POSCAR:
```
BaLaPdPt
1.0
0.000 3.755 3.755
3.755 0.000 3.755
3.755 3.755 0.000
Ba La Pd Pt
1 1 1 1
direct
0.000 0.000 0.000
0.500 0.500 0.500
0.750 0.750 0.750
0.250 0.250 0.250
```

Results
Distance to the lowest polymorph of the same formula in eV/atom: 0.0404
Total magnetization in μB per atom: 0.00
Energy of formation from the pure elements in eV per atom: -0.7065
E_tot in eV/atom: -5.227

This record from Alexandria via LeMat-Bulk describes a geometry-optimized CrHS2 structure. The functional is PBE-GGA.

Geometry as POSCAR:
```
CrHS2
1.0
-2.969 2.969 2.700
2.969 -2.969 2.700
2.969 2.969 -2.700
Cr H S
2 2 4
direct
0.250 0.250 0.000
0.750 0.750 0.000
0.250 0.750 0.500
0.750 0.250 0.500
0.176 0.676 0.852
0.324 0.176 0.500
0.676 0.824 0.500
0.824 0.324 0.148
```

Results
Distance to the lowest polymorph of the same formula in eV/atom: 0.7294
Total magnetization in μB per atom: 0.65
E_tot in eV/atom: -5.042

This record from Alexandria via LeMat-Bulk describes a geometry-optimized KBaMg2 structure. The functional is PBE-GGA.

Geometry as POSCAR:
```
KBaMg2
1.0
-2.999 2.999 4.177
2.999 -2.999 4.177
2.999 2.999 -4.177
K Ba Mg
1 1 2
direct
0.000 0.000 0.000
0.750 0.250 0.500
0.250 0.750 0.500
0.500 0.500 0.000
```

Results
Distance to the lowest polymorph of the same formula in eV/atom: 0.0385
Total magnetization in μB per atom: 0.00
Energy of formation from the pure elements in eV per atom: 0.1379
E_tot in eV/atom: -1.414